(1)
Below is crystalline ScAgAsO at its relaxed geometry, with properties calculated at the PBE level.

```
data_ScAgAsO
_chemical_formula_sum 'Sc2 Ag2 As2 O2'
_cell_length_a 4.624
_cell_length_b 6.562
_cell_length_c 5.190
_cell_angle_alpha 90.00
_cell_angle_beta 90.00
_cell_angle_gamma 90.00
_space_group_name_H-M_alt 'P m c 21'
_space_group_IT_number 26
_space_group_name_Hall 'P 2c -2'
loop_
_atom_site_label
_atom_site_type_symbol
_atom_site_fract_x
_atom_site_fract_y
_atom_site_fract_z
_atom_site_occupancy
Sc1 Sc 0.000 0.170 0.000 1
Ag1 Ag 0.500 0.235 0.422 1
As1 As 0.500 0.367 0.911 1
O1 O 0.000 0.106 0.366 1
```

Computed properties:
The crystal system is orthorhombic.

---

(2)
Below is crystalline KLuZnO3 at its relaxed geometry, with properties calculated at the PBE level.

```
data_KLuZnO3
_chemical_formula_sum 'K4 Lu4 Zn4 O12'
_cell_length_a 3.407
_cell_length_b 12.062
_cell_length_c 8.787
_cell_angle_alpha 90.00
_cell_angle_beta 90.00
_cell_angle_gamma 90.00
_space_group_name_H-M_alt 'C m c m'
_space_group_IT_number 63
_space_group_name_Hall '-C 2c 2'
loop_
_atom_site_label
_atom_site_type_symbol
_atom_site_fract_x
_atom_site_fract_y
_atom_site_fract_z
_atom_site_occupancy
K1 K 0.000 0.214 0.250 1
Lu1 Lu 0.000 0.500 0.000 1
Zn1 Zn 0.000 0.066 0.750 1
O1 O 0.000 0.115 0.545 1
O2 O 0.000 0.466 0.750 1
```

Computed properties:
The crystal system is orthorhombic.

---

(3)
Below is crystalline K5ReSb2 at its relaxed geometry, with properties calculated at the PBE level.

```
data_K5ReSb2
_chemical_formula_sum 'K15 Re3 Sb6'
_cell_length_a 6.0619
_cell_length_b 6.0619
_cell_length_c 28.7807
_cell_angle_alpha 90.00
_cell_angle_beta 90.00
_cell_angle_gamma 120.00
_space_group_name_H-M_alt 'R -3 m'
_space_group_IT_number 166
_space_group_name_Hall '-R 3 2"'
loop_
_atom_site_label
_atom_site_type_symbol
_atom_site_fract_x
_atom_site_fract_y
_atom_site_fract_z
_atom_site_occupancy
K1 K 0.0000 0.0000 0.0000 1
K2 K 0.0000 0.0000 0.1351 1
K3 K 0.0000 0.0000 0.2779 1
Re1 Re 0.0000 0.0000 0.5000 1
Sb1 Sb 0.0000 0.0000 0.4078 1
```

Computed properties:
The crystal system is trigonal.

---

(4)
Below is crystalline TbDy2Si4Au4 at its relaxed geometry, with properties calculated at the PBE level.

```
data_TbDy2Si4Au4
_chemical_formula_sum 'Tb2 Dy4 Si8 Au8'
_cell_length_a 4.130
_cell_length_b 4.240
_cell_length_c 25.090
_cell_angle_alpha 90.00
_cell_angle_beta 90.00
_cell_angle_gamma 90.00
_space_group_name_H-M_alt 'I m m m'
_space_group_IT_number 71
_space_group_name_Hall '-I 2 2'
loop_
_atom_site_label
_atom_site_type_symbol
_atom_site_fract_x
_atom_site_fract_y
_atom_site_fract_z
_atom_site_occupancy
Tb1 Tb 0.000 0.000 0.000 1
Dy1 Dy 0.000 0.500 0.148 1
Si1 Si 0.000 0.000 0.453 1
Si2 Si 0.000 0.500 0.310 1
Au1 Au 0.000 0.000 0.252 1
Au2 Au 0.000 0.500 0.406 1
```

Computed properties:
The crystal system is orthorhombic.

---

Computed values of E (unit: eV/atom) for the preceding records, in sequence: -5.91, -5.90, -3.13, -5.13.
Computed values of calculated volume (unit: Å³ per atom) for the preceding records, in sequence: 19.7, 15.0, 38.2, 20.0.
Computed values of mass density (unit: g/cm3) for the preceding records, in sequence: 5.139, 6.024, 3.401, 10.463.